Entry 1:
DFT (GGA-PBE) results for a relaxed Zr2PbSe crystal.

For the calculated density, the calculation gives 8.56 g/cm³. The value obtained for the size of the total moment is 0.0 μB per cell. The value obtained for the formation energy without anion corrections is -0.488 eV/atom. The uncorrected energy comes out at -0.241 Ha/atom.

The space group is Cm (No. 8) and the conventional cell measures 10.822, 3.388 and 5.009 Å, with angles of 90.00, 98.40 and 90.00 degrees. The distinct sites, in fractional coordinates, are Zr at (0.000, 0.000, 0.000), Zr at (0.208, 0.000, 0.592), Pb at (0.468, 0.000, 0.485) and Se at (0.207, 0.500, 0.067).

---

Entry 2:
DFT (GGA-PBE) results for a relaxed Ho2PuPt9 crystal.

For the calculated density, the calculation gives 17.29 g/cm³. The value obtained for the size of the total moment is 15.4 μB per cell. For the formation energy, the calculation gives -0.87 eV per atom. The uncorrected energy comes out at -0.270 Ha/atom.

The space group is R-3m (No. 166, hexagonal axes) and the conventional cell measures 5.4103, 5.4103 and 26.4830 Å, with angles of 90.00, 90.00 and 120.00 degrees. The distinct sites, in fractional coordinates, are Ho at (0.0000, 0.0000, 0.1393), Pu at (0.0000, 0.0000, 0.0000), Pt at (0.0000, 0.0000, 0.3330), Pt at (0.0000, 0.0000, 0.5000) and Pt at (0.0046, 0.5023, 0.9144).

---

Entry 3:
DFT (GGA-PBE) results for a relaxed AcZnCd2 crystal.

For the calculated density, the calculation gives 7.73 g/cm³. The value obtained for the size of the total moment is 0.0 μB per cell. For the formation energy, the calculation gives -0.13 eV per atom. The uncorrected energy comes out at -0.071 Ha/atom.

The space group is P4/mmm (No. 123) and the conventional cell measures 4.604, 4.604 and 5.240 Å, with angles of 90.00, 90.00 and 90.00 degrees. The distinct sites, in fractional coordinates, are Ac at (0.000, 0.000, 0.000), Zn at (0.500, 0.500, 0.000) and Cd at (0.000, 0.500, 0.500).